No. 1
This record from Alexandria via LeMat-Bulk describes K2RhI after structural relaxation. The functional is PBE.

Summary:
ΔE_f (raw) in meV per atom: 140
VASP energy in eV/atom: -2.635
Symmetry: Fm-3m (225)
Size of the total moment in μB/atom: 0.49

Cell: 5.8709 5.8709 5.8709 Å, 60.00 60.00 60.00°
Closest atoms and distances in Å follow each position.
Fractional coordinates of all 4 atoms:
K  0.7500  0.7500  0.7500  4 I 3.60, 4 Rh 3.60
K  0.2500  0.2500  0.2500  4 I 3.60, 4 Rh 3.60
I  0.5000  0.5000  0.5000  8 K 3.60
Rh  0.0000  0.0000  0.0000  8 K 3.60

No. 2
This record from Alexandria via LeMat-Bulk describes KRh2SI after structural relaxation. The functional is PBE.

Summary:
ΔE_f (raw) in meV per atom: -24
VASP energy in eV/atom: -4.320
Symmetry: P4/mmm (123)
Size of the total moment in μB/atom: 0.03

Cell: 4.4184 7.4942 4.4184 Å, 90.00 90.00 90.00°
Closest atoms and distances in Å follow each position.
Fractional coordinates of all 5 atoms:
Rh  0.5000  0.0000  0.0000  2 S 2.21
Rh  0.0000  0.0000  0.5000  2 S 2.21
I  0.0000  0.5000  0.0000  4 K 3.12
K  0.5000  0.5000  0.5000  4 I 3.12
S  0.0000  0.0000  0.0000  4 Rh 2.21

No. 3
This record from Alexandria via LeMat-Bulk describes KSbRhI2 after structural relaxation. The functional is PBE.

Summary:
ΔE_f (raw) in meV per atom: -351
VASP energy in eV/atom: -3.485
Symmetry: P4/mmm (123)
Size of the total moment in μB/atom: 0.00

Cell: 5.8622 5.8622 4.9776 Å, 90.00 90.00 90.00°
Closest atoms and distances in Å follow each position.
Fractional coordinates of all 5 atoms:
Sb  0.0000  0.0000  0.5000  2 Rh 2.49
Rh  0.0000  0.0000  0.0000  2 Sb 2.49
K  0.5000  0.5000  0.5000  8 I 3.85, 4 Sb 4.15
I  0.0000  0.5000  0.0000  2 Rh 2.93
I  0.5000  0.0000  0.0000  2 Rh 2.93